1.
VASP calculation (GGA-PBE) on crystalline Pm2ErNi at its relaxed geometry.

```
Pm2ErNi
1.0
6.931 0.000 0.000
0.000 9.878 0.000
0.000 0.000 6.350
Pm Er Ni
8 4 4
Direct
0.181 0.066 0.176 Pm
0.181 0.434 0.176 Pm
0.319 0.566 0.676 Pm
0.319 0.934 0.676 Pm
0.681 0.066 0.324 Pm
0.681 0.434 0.324 Pm
0.819 0.566 0.824 Pm
0.819 0.934 0.824 Pm
0.037 0.250 0.650 Er
0.463 0.750 0.150 Er
0.537 0.250 0.850 Er
0.963 0.750 0.350 Er
0.112 0.750 0.947 Ni
0.388 0.250 0.447 Ni
0.612 0.750 0.553 Ni
0.888 0.250 0.053 Ni
```

- total moment (μB per cell) = 0.00
- energy relative to the elements (eV per atom) = -0.2070

---

2.
VASP calculation (GGA-PBE) on crystalline PmEr2Ni9 at its relaxed geometry.

```
PmEr2Ni9
1.0
2.490 1.438 8.080
-2.490 1.438 8.080
0.000 -2.876 8.080
Pm Er Ni
1 2 9
Direct
0.000 0.000 0.000 Pm
0.140 0.140 0.140 Er
0.860 0.860 0.860 Er
0.082 0.584 0.584 Ni
0.333 0.333 0.333 Ni
0.416 0.416 0.918 Ni
0.416 0.918 0.416 Ni
0.500 0.500 0.500 Ni
0.584 0.082 0.584 Ni
0.584 0.584 0.082 Ni
0.667 0.667 0.667 Ni
0.918 0.416 0.416 Ni
```

- total moment (μB per cell) = 0.75
- energy relative to the elements (eV per atom) = -0.4115

---

3.
VASP calculation (GGA-PBE) on crystalline PmEr6Ni2 at its relaxed geometry.

```
PmEr6Ni2
1.0
-4.536 5.078 5.080
4.536 -5.078 5.080
4.536 5.078 -5.080
Pm Er Ni
2 12 4
Direct
0.000 0.000 0.000 Pm
0.500 0.500 0.000 Pm
0.001 0.223 0.778 Er
0.192 0.304 0.496 Er
0.192 0.696 0.889 Er
0.310 0.007 0.697 Er
0.310 0.613 0.303 Er
0.445 0.223 0.222 Er
0.555 0.777 0.778 Er
0.690 0.387 0.697 Er
0.690 0.993 0.303 Er
0.808 0.304 0.111 Er
0.808 0.696 0.504 Er
0.999 0.777 0.222 Er
0.119 0.619 0.500 Ni
0.373 0.000 0.373 Ni
0.627 0.000 0.627 Ni
0.881 0.381 0.500 Ni
```

- total moment (μB per cell) = 0.00
- energy relative to the elements (eV per atom) = -0.1357

---

4.
VASP calculation (GGA-PBE) on crystalline PmErNi2 at its relaxed geometry.

```
PmErNi2
1.0
3.408 0.000 0.000
0.000 3.408 0.000
0.000 0.000 6.800
Pm Er Ni
1 1 2
Direct
0.000 0.000 0.000 Pm
0.000 0.000 0.500 Er
0.500 0.500 0.267 Ni
0.500 0.500 0.733 Ni
```

- total moment (μB per cell) = 0.00
- energy relative to the elements (eV per atom) = -0.3355

---

5.
VASP calculation (GGA-PBE) on crystalline PmEr2Ni2 at its relaxed geometry.

```
PmEr2Ni2
1.0
5.771 -1.894 0.000
5.771 1.894 0.000
-1.327 0.000 5.316
Pm Er Ni
1 2 2
Direct
0.000 0.000 0.000 Pm
0.351 0.351 0.412 Er
0.649 0.649 0.588 Er
0.282 0.282 0.885 Ni
0.718 0.718 0.115 Ni
```

- total moment (μB per cell) = 0.00
- energy relative to the elements (eV per atom) = -0.2432

---

6.
VASP calculation (GGA-PBE) on crystalline PmErNi2 at its relaxed geometry.

```
PmErNi2
1.0
0.000 3.408 3.408
3.408 0.000 3.408
3.408 3.408 0.000
Pm Er Ni
1 1 2
Direct
0.000 0.000 0.000 Pm
0.500 0.500 0.500 Er
0.250 0.250 0.250 Ni
0.750 0.750 0.750 Ni
```

- total moment (μB per cell) = 0.00
- energy relative to the elements (eV per atom) = -0.3347

---

7.
VASP calculation (GGA-PBE) on crystalline PmErSi2Ni2 at its relaxed geometry.

```
PmErSi2Ni2
1.0
3.989 0.000 0.000
-1.994 3.454 0.000
0.000 0.000 8.081
Pm Er Si Ni
1 1 2 2
Direct
0.000 0.000 0.000 Pm
0.000 0.000 0.500 Er
0.333 0.667 0.258 Si
0.667 0.333 0.742 Si
0.333 0.667 0.737 Ni
0.667 0.333 0.263 Ni
```

- total moment (μB per cell) = 0.00
- raw formation energy (kJ per mole of atoms) = -73.8

---

8.
VASP calculation (GGA-PBE) on crystalline Pm2ErZn12Ni3 at its relaxed geometry.

```
Pm2ErZn12Ni3
1.0
3.851 2.223 7.025
-3.851 2.223 7.025
0.000 -4.447 7.025
Pm Er Zn Ni
2 1 12 3
Direct
0.096 0.096 0.096 Pm
0.904 0.904 0.904 Pm
0.500 0.500 0.500 Er
0.014 0.662 0.662 Zn
0.259 0.259 0.640 Zn
0.259 0.640 0.259 Zn
0.338 0.338 0.986 Zn
0.338 0.986 0.338 Zn
0.360 0.741 0.741 Zn
0.640 0.259 0.259 Zn
0.662 0.014 0.662 Zn
0.662 0.662 0.014 Zn
0.741 0.360 0.741 Zn
0.741 0.741 0.360 Zn
0.986 0.338 0.338 Zn
0.000 0.500 0.500 Ni
0.500 0.000 0.500 Ni
0.500 0.500 0.000 Ni
```

- total moment (μB per cell) = 0.00
- energy relative to the elements (eV per atom) = 0.1007